Record 1
First-principles (PBE-GGA) data for a geometry-optimized AlCu4Bi structure, as listed in Alexandria via LeMat-Bulk.

## Properties
DOS(E_F) (states/eV per atom): 0.334
Formation energy (kJ/mol of formula units): 58
V (Å³/f.u.): 93

Cell lengths 5.0913, 5.0913, 5.0913 Å; angles 60.00, 60.00, 60.00 degrees
Element x y z (fractional)
Cu1 0.6260 0.6260 0.1220
Cu2 0.6260 0.1220 0.6260
Cu3 0.6260 0.6260 0.6260
Cu4 0.1220 0.6260 0.6260
Bi1 0.2500 0.2500 0.2500
Al1 0.0000 0.0000 0.0000



Record 2
First-principles (PBE-GGA) data for a geometry-optimized SmDy3Ir structure, as listed in Alexandria via LeMat-Bulk.

## Properties
DOS(E_F) (states/eV per atom): 1.553
Distance to the lowest polymorph of the same formula (meV/atom): 58.6
Formation energy (kJ/mol of formula units): -132
V (Å³/f.u.): 161

Cell lengths 5.4420, 5.4420, 5.4420 Å; angles 90.00, 90.00, 90.00 degrees
Element x y z (fractional)
Dy1 0.0000 0.5000 0.0000
Dy2 0.5000 0.0000 0.0000
Dy3 0.0000 0.0000 0.5000
Ir1 0.0000 0.0000 0.0000
Sm1 0.5000 0.5000 0.5000



Record 3
First-principles (PBE-GGA) data for a geometry-optimized NaTlCdSn structure, as listed in Alexandria via LeMat-Bulk.

## Properties
DOS(E_F) (states/eV per atom): 0.427
Distance to the lowest polymorph of the same formula (meV/atom): 0.0
Formation energy (kJ/mol of formula units): -36
V (Å³/f.u.): 106

Cell lengths 4.9536, 4.9536, 8.6548 Å; angles 90.00, 90.00, 90.00 degrees
Element x y z (fractional)
Na1 0.0000 0.5000 0.7382
Na2 0.5000 0.0000 0.2618
Tl1 0.5000 0.5000 0.0000
Tl2 0.0000 0.0000 0.0000
Sn1 0.0000 0.5000 0.2791
Sn2 0.5000 0.0000 0.7209
Cd1 0.0000 0.0000 0.5000
Cd2 0.5000 0.5000 0.5000